1.
## Be3CrB (PBE)

Data for a geometry-optimized Be3CrB structure.

symmetry: Pm-3m (221)
D(E_F): 2.42 states/eV/f.u.
magnetic moment: 1.901 μB/f.u.
offset from the most stable computed form: 2.275 eV per atom

Cell lengths 4.0790, 4.0790, 4.0790 Å; angles 90.00, 90.00, 90.00 degrees
Closest atoms and distances in Å follow each position.
Fractional coordinates of all 5 atoms:
Be  0.0000  0.0000  0.5000  2 Cr 2.04
Be  0.0000  0.5000  0.0000  2 Cr 2.04
Be  0.5000  0.0000  0.0000  2 Cr 2.04
Cr  0.0000  0.0000  0.0000  6 Be 2.04
B  0.5000  0.5000  0.5000  12 Be 2.88

***

2.
## Be2CrB2 (PBE)

Data for a geometry-optimized Be2CrB2 structure.

symmetry: P2 (3)
D(E_F): 1.84 states/eV/f.u.
magnetic moment: 0.000 μB/f.u.
offset from the most stable computed form: 0.046 eV per atom

Cell lengths 4.4280, 3.9374, 5.0552 Å; angles 90.00, 111.12, 90.00 degrees
Closest atoms and distances in Å follow each position.
Fractional coordinates of all 10 atoms:
Be  0.0000  0.0000  0.0000  2 B 1.95
Be  0.1259  0.4915  0.2142  3 B 1.89-2.05, 1 Be 2.05
Be  0.5000  0.1269  0.5000  2 B 2.04, 2 Be 2.27
Be  0.8741  0.4915  0.7858  3 B 1.89-2.05, 1 Be 2.05
Cr  0.0000  0.9648  0.5000  6 B 2.12-2.17, 2 Be 2.30
Cr  0.5000  0.2403  0.0000  6 B 2.12-2.14
B  0.2144  0.4655  0.6081  2 B 1.69-1.82, 1 Be 1.89
B  0.3071  0.7406  0.8837  2 B 1.69
B  0.6929  0.7406  0.1163  2 B 1.69
B  0.7856  0.4655  0.3919  2 B 1.69-1.82, 1 Be 1.89

***

3.
## BeCrB (PBE)

Data for a geometry-optimized BeCrB structure.

symmetry: P-6m2 (187)
E: -6.930 eV/atom
D(E_F): 0.97 states/eV/f.u.
magnetic moment: 0.000 μB/f.u.

Cell lengths 3.1556, 3.1556, 2.7979 Å; angles 90.00, 90.00, 120.00 degrees
Closest atoms and distances in Å follow each position.
Fractional coordinates of all 3 atoms:
Be  0.0000  0.0000  0.0000  3 B 1.82
Cr  0.6667  0.3333  0.5000  6 Be 2.30, 6 B 2.30
B  0.3333  0.6667  0.0000  3 Be 1.82

***

4.
## Be3CrB (PBE)

Data for a geometry-optimized Be3CrB structure.

symmetry: P2_1/m (11)
D(E_F): 2.03 states/eV/f.u.
magnetic moment: 0.856 μB/f.u.
offset from the most stable computed form: 0.000 eV per atom

Cell lengths 4.0598, 4.2416, 5.1630 Å; angles 90.00, 112.47, 90.00 degrees
Closest atoms and distances in Å follow each position.
Fractional coordinates of all 10 atoms:
Be  0.0184  0.9997  0.2952  2 B 1.93-1.95, 2 Be 2.12
Be  0.0184  0.5003  0.2952  2 B 1.93-1.95, 2 Be 2.12
Be  0.4417  0.2500  0.6205  1 B 1.85
Be  0.5583  0.7500  0.3795  1 B 1.85
Be  0.9816  0.0003  0.7048  2 B 1.93-1.95, 2 Be 2.12
Be  0.9816  0.4997  0.7048  2 B 1.93-1.95, 2 Be 2.12
Cr  0.4160  0.2500  0.1137  4 B 2.13-2.32
Cr  0.5840  0.7500  0.8863  4 B 2.13-2.32
B  0.1685  0.7500  0.0424  5 Be 1.85-1.95
B  0.8315  0.2500  0.9576  5 Be 1.85-1.95

***

5.
## Be2CrB2 (PBE)

Data for a geometry-optimized Be2CrB2 structure.

symmetry: P-1 (2)
D(E_F): 1.90 states/eV/f.u.
magnetic moment: 0.000 μB/f.u.
offset from the most stable computed form: 0.005 eV per atom

Cell lengths 4.1312, 4.1763, 4.6470 Å; angles 96.55, 91.28, 104.07 degrees
Closest atoms and distances in Å follow each position.
Fractional coordinates of all 10 atoms:
Be  0.0645  0.2308  0.1256  3 B 1.91-1.93, 3 Be 2.08-2.12
Be  0.4071  0.6729  0.8558  5 B 1.97-2.19, 2 Be 2.08-2.12
Be  0.5929  0.3271  0.1442  5 B 1.97-2.19, 2 Be 2.08-2.12
Be  0.9355  0.7692  0.8744  3 B 1.91-1.93, 3 Be 2.08-2.12
Cr  0.1966  0.7914  0.3898  7 B 2.15-2.27
Cr  0.8034  0.2086  0.6102  7 B 2.15-2.27
B  0.2899  0.1276  0.7861  1 B 1.70
B  0.3263  0.3350  0.4895  2 B 1.70-1.72
B  0.6737  0.6650  0.5105  2 B 1.70-1.72
B  0.7101  0.8724  0.2139  1 B 1.70

***

6.
## BeCr2B3 (PBE)

Data for a geometry-optimized BeCr2B3 structure.

symmetry: P6_3/mmc (194)
E: -7.463 eV/atom
D(E_F): 2.32 states/eV/f.u.
magnetic moment: 0.000 μB/f.u.

Cell lengths 3.0653, 3.0653, 11.3803 Å; angles 90.00, 90.00, 120.00 degrees
Closest atoms and distances in Å follow each position.
Fractional coordinates of all 12 atoms:
Be  0.3333  0.6667  0.2500  3 B 1.77
Be  0.6667  0.3333  0.7500  3 B 1.77
Cr  0.0000  0.0000  0.1225  9 B 2.25-2.29, 3 Be 2.29
Cr  0.0000  0.0000  0.3775  9 B 2.25-2.29, 3 Be 2.29
Cr  0.0000  0.0000  0.6225  9 B 2.25-2.29, 3 Be 2.29
Cr  0.0000  0.0000  0.8775  9 B 2.25-2.29, 3 Be 2.29
B  0.3333  0.6667  0.0000  3 B 1.77
B  0.3333  0.6667  0.5000  3 B 1.77
B  0.3333  0.6667  0.7500  3 Be 1.77
B  0.6667  0.3333  0.0000  3 B 1.77
B  0.6667  0.3333  0.2500  3 Be 1.77
B  0.6667  0.3333  0.5000  3 B 1.77

***

7.
## Be2CrB2 (PBE)

Data for a geometry-optimized Be2CrB2 structure.

symmetry: P-1 (2)
D(E_F): 1.30 states/eV/f.u.
magnetic moment: 0.000 μB/f.u.
offset from the most stable computed form: 0.029 eV per atom

Cell lengths 4.0276, 4.1120, 4.9098 Å; angles 99.27, 91.49, 104.56 degrees
Closest atoms and distances in Å follow each position.
Fractional coordinates of all 10 atoms:
Be  0.1665  0.1195  0.1994  4 B 1.90-2.02
Be  0.2641  0.5441  0.9039  3 B 1.94-2.09
Be  0.7359  0.4559  0.0961  3 B 1.94-2.09
Be  0.8335  0.8805  0.8006  4 B 1.90-2.02
Cr  0.2911  0.6856  0.4527  6 B 2.10-2.27
Cr  0.7089  0.3144  0.5473  6 B 2.10-2.27
B  0.1699  0.1716  0.5917  2 B 1.77-1.80, 2 Be 1.90-1.94
B  0.4093  0.0539  0.8495  2 B 1.77-1.80
B  0.5907  0.9461  0.1505  2 B 1.77-1.80
B  0.8301  0.8284  0.4083  2 B 1.77-1.80, 2 Be 1.90-1.94

***

8.
## Be4CrB2 (PBE)

Data for a geometry-optimized Be4CrB2 structure.

symmetry: Cmmm (65)
E: -5.523 eV/atom
D(E_F): 1.61 states/eV/f.u.
magnetic moment: 1.891 μB/f.u.

Cell lengths 5.9561, 5.9561, 3.0781 Å; angles 90.00, 90.00, 149.86 degrees
Closest atoms and distances in Å follow each position.
Fractional coordinates of all 7 atoms:
Be  0.1726  0.8274  0.0000  2 B 1.93
Be  0.3248  0.6752  0.5000  2 B 1.94
Be  0.6752  0.3248  0.5000  2 B 1.94
Be  0.8274  0.1726  0.0000  2 B 1.93
Cr  0.0000  0.0000  0.5000  8 B 2.34, 8 Be 2.51-2.54
B  0.4279  0.5721  0.0000  1 B 1.66
B  0.5721  0.4279  0.0000  1 B 1.66

***

9.
## Be2CrB4 (PBE)

Data for a geometry-optimized Be2CrB4 structure.

symmetry: Immm (71)
D(E_F): 2.37 states/eV/f.u.
magnetic moment: 1.091 μB/f.u.
offset from the most stable computed form: 0.000 eV per atom

Cell lengths 6.2562, 6.2562, 6.2562 Å; angles 152.90, 152.00, 39.36 degrees
Closest atoms and distances in Å follow each position.
Fractional coordinates of all 7 atoms:
Be  0.1867  0.1867  0.0000  7 B 1.96-2.16
Be  0.8133  0.8133  0.0000  7 B 1.96-2.16
Cr  0.0000  0.5000  0.5000  12 B 2.28-2.30
B  0.3531  0.3531  0.0000  2 B 1.70
B  0.4261  0.9261  0.5000  3 B 1.70-1.74
B  0.5739  0.0739  0.5000  3 B 1.70-1.74
B  0.6469  0.6469  0.0000  2 B 1.70

***

10.
## Be2CrB2 (PBE)

Data for a geometry-optimized Be2CrB2 structure.

symmetry: P4/mbm (127)
D(E_F): 2.47 states/eV/f.u.
magnetic moment: 0.000 μB/f.u.
offset from the most stable computed form: 0.314 eV per atom

Cell lengths 5.5884, 5.5884, 2.4758 Å; angles 90.00, 90.00, 90.00 degrees
Closest atoms and distances in Å follow each position.
Fractional coordinates of all 10 atoms:
Be  0.1827  0.3173  0.0000  6 B 2.05-2.09
Be  0.3173  0.8173  0.0000  6 B 2.05-2.09
Be  0.6827  0.1827  0.0000  6 B 2.05-2.09
Be  0.8173  0.6827  0.0000  6 B 2.05-2.09
Cr  0.0000  0.0000  0.5000  4 B 2.26, 8 Be 2.39, 2 Cr 2.48
Cr  0.5000  0.5000  0.5000  4 B 2.26, 8 Be 2.39, 2 Cr 2.48
B  0.1109  0.6109  0.5000  1 B 1.75
B  0.3891  0.1109  0.5000  1 B 1.75
B  0.6109  0.8891  0.5000  1 B 1.75
B  0.8891  0.3891  0.5000  1 B 1.75

***

11.
## BeCrB5 (PBE)

Data for a geometry-optimized BeCrB5 structure.

symmetry: P-1 (2)
E: -6.647 eV/atom
D(E_F): 2.91 states/eV/f.u.
magnetic moment: 0.164 μB/f.u.

Cell lengths 3.8846, 5.6795, 5.6859 Å; angles 111.61, 109.75, 100.44 degrees
Closest atoms and distances in Å follow each position.
Fractional coordinates of all 14 atoms:
Be  0.0448  0.0759  0.2225  6 B 1.92-2.07
Be  0.9552  0.9241  0.7775  6 B 1.92-2.07
Cr  0.0000  0.5000  0.5000  10 B 2.10-2.28
Cr  0.5000  0.5000  0.0000  12 B 2.09-2.31
B  0.0101  0.8468  0.4131  2 B 1.69-1.74
B  0.1430  0.6167  0.1909  4 B 1.74-1.88
B  0.3808  0.4228  0.3171  3 B 1.74-1.76, 1 Be 1.92
B  0.4621  0.1034  0.7692  5 B 1.81-1.95
B  0.4794  0.1518  0.1174  4 B 1.74-1.87
B  0.5206  0.8482  0.8826  4 B 1.74-1.87
B  0.5379  0.8966  0.2308  5 B 1.81-1.95
B  0.6192  0.5772  0.6829  3 B 1.74-1.76, 1 Be 1.92
B  0.8570  0.3833  0.8091  4 B 1.74-1.88
B  0.9899  0.1532  0.5869  2 B 1.69-1.74

***

12.
## BeCr4B (PBE)

Data for a geometry-optimized BeCr4B structure.

symmetry: I4/mcm (140)
E: -8.116 eV/atom
D(E_F): 4.92 states/eV/f.u.
magnetic moment: 0.000 μB/f.u.

Cell lengths 5.7764, 5.7764, 5.7764 Å; angles 126.40, 126.40, 79.23 degrees
Closest atoms and distances in Å follow each position.
Fractional coordinates of all 12 atoms:
Be  0.0000  0.0000  0.0000  2 B 2.22, 8 Cr 2.28
Be  0.5000  0.5000  0.0000  2 B 2.22, 8 Cr 2.28
Cr  0.0294  0.5294  0.8259  2 B 2.21, 2 Be 2.28, 3 Cr 2.38-2.44
Cr  0.2035  0.0294  0.5000  2 B 2.21, 2 Be 2.28, 3 Cr 2.38-2.44
Cr  0.2965  0.7965  0.8259  2 B 2.21, 2 Be 2.28, 3 Cr 2.38-2.44
Cr  0.4706  0.2965  0.5000  2 B 2.21, 2 Be 2.28, 3 Cr 2.38-2.44
Cr  0.5294  0.7035  0.5000  2 B 2.21, 2 Be 2.28, 3 Cr 2.38-2.44
Cr  0.7035  0.2035  0.1741  2 B 2.21, 2 Be 2.28, 3 Cr 2.38-2.44
Cr  0.7965  0.9706  0.5000  2 B 2.21, 2 Be 2.28, 3 Cr 2.38-2.44
Cr  0.9706  0.4706  0.1741  2 B 2.21, 2 Be 2.28, 3 Cr 2.38-2.44
B  0.2500  0.2500  0.0000  8 Cr 2.21, 2 Be 2.22
B  0.7500  0.7500  0.0000  8 Cr 2.21, 2 Be 2.22

***

These records have calculated volume values of 13.574; 8.221; 8.042; 8.216; 7.716; 7.717; 7.749; 7.832; 7.466; 7.732; 7.347; 10.062 Å³/atom, in the order they appear.